CeSn6Ru4: optimized geometry, GGA-PBEsol.

Calculated values
- DFT formation energy (eV/atom) = -0.338

Cell: 6.824 6.824 9.729 Å, 90.00 90.00 90.00°
Space group I-42m (No. 121)
Inequivalent atoms, fractional coordinates:
Ce 0.000 0.000 0.000 x2
Sn 0.000 0.500 0.000 x4
Sn 0.175 0.175 0.295 x8
Ru 0.175 0.175 0.576 x8

---

CeS3: optimized geometry, GGA-PBEsol.

Calculated values
- ΔE_f (raw) (eV/atom) = -1.07

Cell: 3.887 3.887 9.484 Å, 90.00 90.00 90.00°
Space group I4/mmm (No. 139)
Inequivalent atoms, fractional coordinates:
Ce 0.000 0.000 0.000 x2
S 0.000 0.000 0.500 x2
S 0.000 0.500 0.250 x4

---

Ce2S3: optimized geometry, GGA-PBEsol.

Calculated values
- ΔE_f (raw) (eV/atom) = -2.03

Cell: 7.327 3.963 15.117 Å, 90.00 90.00 90.00°
Space group Pnma (No. 62)
Inequivalent atoms, fractional coordinates:
Ce 0.130 0.250 0.208 x4
Ce 0.241 0.750 0.457 x4
S 0.006 0.250 0.392 x4
S 0.129 0.750 0.070 x4
S 0.151 0.250 0.779 x4

---

Ce2SeS: optimized geometry, GGA-PBEsol.

Calculated values
- ΔE_f (raw) (eV/atom) = -1.91

Cell: 4.044 4.044 5.719 Å, 90.00 90.00 90.00°
Space group P4/mmm (No. 123)
Inequivalent atoms, fractional coordinates:
Ce 0.000 0.000 0.000 x1
Ce 0.500 0.500 0.500 x1
Se 0.000 0.000 0.500 x1
S 0.500 0.500 0.000 x1

---

CeSm3S4: optimized geometry, GGA-PBEsol.

Calculated values
- ΔE_f (raw) (eV/atom) = -2.12

Cell: 13.137 3.952 6.839 Å, 90.00 100.05 90.00°
Space group C2/m (No. 12)
Inequivalent atoms, fractional coordinates:
Ce 0.000 0.000 0.000 x2
Sm 0.000 0.500 0.500 x2
Sm 0.248 0.000 0.749 x4
S 0.125 0.000 0.374 x4
S 0.125 0.500 0.876 x4

---

CeSm2S4: optimized geometry, GGA-PBEsol.

Calculated values
- ΔE_f (raw) (eV/atom) = -2.09

Cell: 8.352 8.352 8.370 Å, 90.00 90.00 90.00°
Space group I-42d (No. 122)
Inequivalent atoms, fractional coordinates:
Ce 0.000 0.000 0.000 x4
Sm 0.119 0.250 0.625 x8
S 0.077 0.174 0.300 x16

---

Ce2SmS4: optimized geometry, GGA-PBEsol.

Calculated values
- ΔE_f (raw) (eV/atom) = -2.07

Cell: 8.351 8.351 8.392 Å, 90.00 90.00 90.00°
Space group I-42d (No. 122)
Inequivalent atoms, fractional coordinates:
Ce 0.126 0.750 0.125 x8
Sm 0.000 0.000 0.500 x4
S 0.076 0.674 0.453 x16

---

SrCe2S4: optimized geometry, GGA-PBEsol.

Calculated values
- ΔE_f (raw) (eV/atom) = -2.05

Cell: 8.518 8.518 8.526 Å, 90.00 90.00 90.00°
Space group I-42d (No. 122)
Inequivalent atoms, fractional coordinates:
Sr 0.000 0.000 0.000 x4
Ce 0.127 0.250 0.625 x8
S 0.078 0.171 0.306 x16

---

CeTh2S3: optimized geometry, GGA-PBEsol.

Calculated values
- ΔE_f (raw) (eV/atom) = -2.00

Cell: 3.9818 3.9818 9.7842 Å, 90.00 90.00 120.00°
Space group P-3m1 (No. 164)
Inequivalent atoms, fractional coordinates:
Ce 0.0000 0.0000 0.0000 x1
Th 0.3333 0.6667 0.6683 x2
S 0.0000 0.0000 0.5000 x1
S 0.3333 0.6667 0.1633 x2

---

Ce2ThS5: optimized geometry, GGA-PBEsol.

Calculated values
- ΔE_f (raw) (eV/atom) = -2.03

Cell: 11.772 8.114 7.423 Å, 90.00 90.00 90.00°
Space group Pnma (No. 62)
Inequivalent atoms, fractional coordinates:
Ce 0.177 0.002 0.024 x8
Th 0.010 0.250 0.580 x4
S 0.000 0.250 0.964 x4
S 0.099 0.547 0.667 x8
S 0.190 0.250 0.329 x4
S 0.220 0.750 0.299 x4

---

CeTm4S7: optimized geometry, GGA-PBEsol.

Calculated values
- ΔE_f (raw) (eV/atom) = -2.06

Cell: 12.648 3.723 11.429 Å, 90.00 104.62 90.00°
Space group Cm (No. 8)
Inequivalent atoms, fractional coordinates:
Ce 0.000 0.000 0.000 x2
Tm 0.086 0.500 0.392 x2
Tm 0.186 0.000 0.763 x2
Tm 0.272 0.500 0.161 x2
Tm 0.386 0.500 0.575 x2
S 0.045 0.500 0.628 x2
S 0.136 0.500 0.927 x2
S 0.149 0.000 0.235 x2
S 0.227 0.000 0.528 x2
S 0.343 0.500 0.787 x2
S 0.383 0.000 0.086 x2
S 0.429 0.500 0.363 x2

---

CeU2S5: optimized geometry, GGA-PBEsol.

Calculated values
- ΔE_f (raw) (eV/atom) = -1.60

Cell: 11.348 7.211 7.836 Å, 90.00 90.00 90.00°
Space group Pna2_1 (No. 33)
Inequivalent atoms, fractional coordinates:
Ce 0.176 0.035 0.000 x4
U 0.009 0.578 0.246 x4
U 0.179 0.029 0.494 x4
S 0.001 0.037 0.746 x4
S 0.090 0.678 0.546 x4
S 0.095 0.667 0.949 x4
S 0.191 0.335 0.248 x4
S 0.220 0.303 0.745 x4

---

Q: Number 4 is which compound?
A: Ce2SeS